1.
Density functional theory data (GGA-PBEsol) for a relaxed structure of SrSi3B.

Calculated values
* space-group type: Pm-3m (221)
* energy relative to the elements, uncorrected: 2608.1 meV/atom

a b c (Å): 5.389 5.389 5.389
angles (deg): 90.00 90.00 90.00
Sites, in units of the cell vectors:
Sr (0.000, 0.000, 0.000)
Si (0.000, 0.500, 0.000)
Si (0.000, 0.000, 0.500)
Si (0.500, 0.000, 0.000)
B (0.500, 0.500, 0.500)



2.
Density functional theory data (GGA-PBEsol) for a relaxed structure of Sr3SiB.

Calculated values
* space-group type: Pm-3m (221)
* energy relative to the elements, uncorrected: 396.6 meV/atom

a b c (Å): 5.381 5.381 5.381
angles (deg): 90.00 90.00 90.00
Sites, in units of the cell vectors:
Sr (0.000, 0.500, 0.000)
Sr (0.000, 0.000, 0.500)
Sr (0.500, 0.000, 0.000)
Si (0.500, 0.500, 0.500)
B (0.000, 0.000, 0.000)



3.
Density functional theory data (GGA-PBEsol) for a relaxed structure of Ta2SiB.

Calculated values
* space-group type: Fm-3m (225)
* energy relative to the elements, uncorrected: 181.2 meV/atom

a b c (Å): 4.257 4.257 4.257
angles (deg): 60.00 60.00 60.00
Sites, in units of the cell vectors:
Si (0.500, 0.500, 0.500)
B (0.000, 0.000, 0.000)
Ta (0.250, 0.250, 0.250)
Ta (0.750, 0.750, 0.750)



4.
Density functional theory data (GGA-PBEsol) for a relaxed structure of Tb5Si2B8.

Calculated values
* space-group type: P4/mbm (127)
* energy relative to the elements, uncorrected: -722.2 meV/atom

a b c (Å): 7.206 7.206 8.038
angles (deg): 90.00 90.00 90.00
Sites, in units of the cell vectors:
Tb (0.681, 0.181, 0.224)
Tb (0.319, 0.819, 0.776)
Tb (0.319, 0.819, 0.224)
Tb (0.819, 0.681, 0.224)
Tb (0.819, 0.681, 0.776)
Tb (0.681, 0.181, 0.776)
Tb (0.181, 0.319, 0.776)
Tb (0.181, 0.319, 0.224)
Tb (0.000, 0.000, 0.500)
Tb (0.500, 0.500, 0.500)
Si (0.115, 0.615, 0.500)
Si (0.885, 0.385, 0.500)
Si (0.385, 0.115, 0.500)
Si (0.615, 0.885, 0.500)
B (0.172, 0.039, 0.000)
B (0.828, 0.961, 0.000)
B (0.961, 0.172, 0.000)
B (0.328, 0.539, 0.000)
B (0.039, 0.828, 0.000)
B (0.672, 0.461, 0.000)
B (0.539, 0.672, 0.000)
B (0.461, 0.328, 0.000)
B (0.090, 0.590, 0.000)
B (0.910, 0.410, 0.000)
B (0.410, 0.090, 0.000)
B (0.590, 0.910, 0.000)
B (0.000, 0.000, 0.162)
B (0.000, 0.000, 0.838)
B (0.500, 0.500, 0.838)
B (0.500, 0.500, 0.162)



5.
Density functional theory data (GGA-PBEsol) for a relaxed structure of Si2BTe.

Calculated values
* space-group type: Fm-3m (225)
* energy relative to the elements, uncorrected: 1225.0 meV/atom

a b c (Å): 4.520 4.520 4.520
angles (deg): 60.00 60.00 60.00
Sites, in units of the cell vectors:
Si (0.250, 0.250, 0.250)
Si (0.750, 0.750, 0.750)
Te (0.500, 0.500, 0.500)
B (0.000, 0.000, 0.000)



6.
Density functional theory data (GGA-PBEsol) for a relaxed structure of SiBTe3.

Calculated values
* space-group type: Pm-3m (221)
* energy relative to the elements, uncorrected: 803.5 meV/atom

a b c (Å): 4.794 4.794 4.794
angles (deg): 90.00 90.00 90.00
Sites, in units of the cell vectors:
Si (0.500, 0.500, 0.500)
Te (0.000, 0.500, 0.000)
Te (0.000, 0.000, 0.500)
Te (0.500, 0.000, 0.000)
B (0.000, 0.000, 0.000)